# 1
The following is a PBE calculation of a geometry-optimized Li2TeI structure, from Alexandria.

Cell lengths 5.2636, 5.2636, 5.2636 Å; angles 60.00, 60.00, 60.00 degrees
With the nearest neighbours (Å) after each atom.
Element x y z (fractional)
I  0.5000  0.5000  0.5000  8 Li 3.22
Te  0.0000  0.0000  0.0000  8 Li 3.22
Li  0.2500  0.2500  0.2500  4 Te 3.22, 4 I 3.22
Li  0.7500  0.7500  0.7500  4 Te 3.22, 4 I 3.22

VASP energy (eV per atom): -2.72
Energy relative to the elements, uncorrected (kJ/mol of formula units): -226
Relative energy among the computed polymorphs (eV per atom): 0.133

# 2
The following is a PBE calculation of a geometry-optimized LiTe3I structure, from Alexandria.

Cell lengths 5.2058, 5.2058, 5.2058 Å; angles 90.00, 90.00, 90.00 degrees
With the nearest neighbours (Å) after each atom.
Element x y z (fractional)
I  0.5000  0.5000  0.5000  12 Te 3.68
Te  0.0000  0.5000  0.0000  2 Li 2.60
Te  0.0000  0.0000  0.5000  2 Li 2.60
Te  0.5000  0.0000  0.0000  2 Li 2.60
Li  0.0000  0.0000  0.0000  6 Te 2.60

VASP energy (eV per atom): -2.35
Energy relative to the elements, uncorrected (kJ/mol of formula units): 112
Relative energy among the computed polymorphs (eV per atom): 0.000

# 3
The following is a PBE calculation of a geometry-optimized Li5Te3I12 structure, from Alexandria.

Cell lengths 15.9464, 15.9464, 15.9464 Å; angles 109.47, 109.47, 109.47 degrees
With the nearest neighbours (Å) after each atom.
Element x y z (fractional)
Te  0.7500  0.3750  0.1250  4 I 3.10
Te  0.8750  0.7500  0.1250  4 I 3.10
Te  0.3750  0.7500  0.6250  4 I 3.10
Te  0.2500  0.1250  0.3750  4 I 3.10
Te  0.8750  0.1250  0.2500  4 I 3.10
Te  0.3750  0.6250  0.2500  4 I 3.10
Te  0.6250  0.3750  0.7500  4 I 3.10
Te  0.1250  0.8750  0.7500  4 I 3.10
Te  0.7500  0.8750  0.6250  4 I 3.10
Te  0.6250  0.2500  0.3750  4 I 3.10
Te  0.1250  0.2500  0.8750  4 I 3.10
Te  0.2500  0.6250  0.8750  4 I 3.10
Li  0.1250  0.3750  0.2500  4 I 2.81
Li  0.0000  0.5000  0.0000  6 I 3.01
Li  0.0000  0.0000  0.0000  6 I 3.01
Li  0.3750  0.2500  0.1250  4 I 2.81
Li  0.5000  0.0000  0.5000  6 I 3.01
Li  0.5000  0.5000  0.0000  6 I 3.01
Li  0.1250  0.7500  0.3750  4 I 2.81
Li  0.7500  0.1250  0.8750  4 I 2.81
Li  0.7500  0.6250  0.3750  4 I 2.81
Li  0.3750  0.1250  0.7500  4 I 2.81
Li  0.6250  0.8750  0.2500  4 I 2.81
Li  0.5000  0.5000  0.5000  6 I 3.01
Li  0.5000  0.0000  0.0000  6 I 3.01
Li  0.0000  0.0000  0.5000  6 I 3.01
Li  0.2500  0.3750  0.6250  4 I 2.81
Li  0.2500  0.8750  0.1250  4 I 2.81
Li  0.0000  0.5000  0.5000  6 I 3.01
Li  0.8750  0.2500  0.6250  4 I 2.81
Li  0.6250  0.7500  0.8750  4 I 2.81
Li  0.8750  0.6250  0.7500  4 I 2.81
I  0.6985  0.1477  0.0304  2 Li 2.81-3.01, 1 Te 3.10
I  0.3318  0.5304  0.3827  2 Li 2.81-3.01, 1 Te 3.10
I  0.9696  0.3523  0.3015  2 Li 2.81-3.01, 1 Te 3.10
I  0.5304  0.1985  0.1477  2 Li 2.81-3.01, 1 Te 3.10
I  0.5509  0.6985  0.6682  2 Li 2.81-3.01, 1 Te 3.10
I  0.9696  0.6173  0.1682  2 Li 2.81-3.01, 1 Te 3.10
I  0.3318  0.8015  0.4491  2 Li 2.81-3.01, 1 Te 3.10
I  0.1173  0.9491  0.1477  2 Li 2.81-3.01, 1 Te 3.10
I  0.6173  0.9696  0.6682  2 Li 2.81-3.01, 1 Te 3.10
I  0.6985  0.5509  0.1682  2 Li 2.81-3.01, 1 Te 3.10
I  0.8015  0.4696  0.3523  2 Li 2.81-3.01, 1 Te 3.10
I  0.8318  0.8827  0.0304  2 Li 2.81-3.01, 1 Te 3.10
I  0.1477  0.6985  0.5304  2 Li 2.81-3.01, 1 Te 3.10
I  0.3523  0.3827  0.0509  2 Li 2.81-3.01, 1 Te 3.10
I  0.0509  0.8827  0.3523  2 Li 2.81-3.01, 1 Te 3.10
I  0.4491  0.1477  0.6173  2 Li 2.81-3.01, 1 Te 3.10
I  0.0509  0.1682  0.1985  2 Li 2.81-3.01, 1 Te 3.10
I  0.4696  0.6682  0.1173  2 Li 2.81-3.01, 1 Te 3.10
I  0.8318  0.9491  0.3015  2 Li 2.81-3.01, 1 Te 3.10
I  0.1477  0.4491  0.1173  2 Li 2.81-3.01, 1 Te 3.10
I  0.3523  0.9696  0.8015  2 Li 2.81-3.01, 1 Te 3.10
I  0.6173  0.6477  0.4491  2 Li 2.81-3.01, 1 Te 3.10
I  0.8827  0.8318  0.5304  2 Li 2.81-3.01, 1 Te 3.10
I  0.8015  0.3318  0.9491  2 Li 2.81-3.01, 1 Te 3.10
I  0.3827  0.3523  0.5509  2 Li 2.81-3.01, 1 Te 3.10
I  0.1173  0.1682  0.4696  2 Li 2.81-3.01, 1 Te 3.10
I  0.1985  0.6682  0.0509  2 Li 2.81-3.01, 1 Te 3.10
I  0.1682  0.0509  0.6985  2 Li 2.81-3.01, 1 Te 3.10
I  0.6477  0.0304  0.1985  2 Li 2.81-3.01, 1 Te 3.10
I  0.8523  0.5509  0.8827  2 Li 2.81-3.01, 1 Te 3.10
I  0.5304  0.3318  0.8827  2 Li 2.81-3.01, 1 Te 3.10
I  0.5509  0.8523  0.3827  2 Li 2.81-3.01, 1 Te 3.10
I  0.9491  0.8318  0.8015  2 Li 2.81-3.01, 1 Te 3.10
I  0.9491  0.1173  0.6477  2 Li 2.81-3.01, 1 Te 3.10
I  0.8523  0.3015  0.4696  2 Li 2.81-3.01, 1 Te 3.10
I  0.1682  0.1173  0.9696  2 Li 2.81-3.01, 1 Te 3.10
I  0.6477  0.6173  0.9491  2 Li 2.81-3.01, 1 Te 3.10
I  0.3827  0.0304  0.3318  2 Li 2.81-3.01, 1 Te 3.10
I  0.3015  0.4491  0.8318  2 Li 2.81-3.01, 1 Te 3.10
I  0.1985  0.5304  0.6477  2 Li 2.81-3.01, 1 Te 3.10
I  0.8827  0.0509  0.8523  2 Li 2.81-3.01, 1 Te 3.10
I  0.6682  0.1985  0.5509  2 Li 2.81-3.01, 1 Te 3.10
I  0.4696  0.8015  0.8523  2 Li 2.81-3.01, 1 Te 3.10
I  0.0304  0.3827  0.8318  2 Li 2.81-3.01, 1 Te 3.10
I  0.4491  0.3015  0.3318  2 Li 2.81-3.01, 1 Te 3.10
I  0.0304  0.6477  0.6985  2 Li 2.81-3.01, 1 Te 3.10
I  0.6682  0.4696  0.6173  2 Li 2.81-3.01, 1 Te 3.10
I  0.3015  0.8523  0.9696  2 Li 2.81-3.01, 1 Te 3.10

VASP energy (eV per atom): -2.32
Energy relative to the elements, uncorrected (kJ/mol of formula units): -855

# 4
The following is a PBE calculation of a geometry-optimized Li3TeI structure, from Alexandria.

Cell lengths 4.6065, 8.0776, 7.8874 Å; angles 72.80, 90.00, 90.00 degrees
With the nearest neighbours (Å) after each atom.
Element x y z (fractional)
Li  0.7500  0.3877  0.6294  3 Te 2.80-2.82, 1 I 2.93
Li  0.2500  0.8752  0.6327  1 Te 2.73, 3 I 2.78-2.82
Li  0.7500  0.6266  0.8897  3 Te 2.78-2.82, 1 I 2.96
Li  0.2500  0.6123  0.3706  3 Te 2.80-2.82, 1 I 2.93
Li  0.2500  0.3734  0.1103  3 Te 2.78-2.82, 1 I 2.96
Li  0.7500  0.1248  0.3673  1 Te 2.73, 3 I 2.78-2.82
Te  0.7500  0.4789  0.2558  7 Li 2.73-2.82
Te  0.2500  0.5211  0.7442  7 Li 2.73-2.82
I  0.7500  0.0083  0.7415  5 Li 2.78-2.96
I  0.2500  0.9917  0.2585  5 Li 2.78-2.96

VASP energy (eV per atom): -3.16
Energy relative to the elements, uncorrected (kJ/mol of formula units): -519
Relative energy among the computed polymorphs (eV per atom): 0.000

# 5
The following is a PBE calculation of a geometry-optimized Li2TeI2 structure, from Alexandria.

Cell lengths 9.0150, 9.0150, 4.0787 Å; angles 90.00, 90.00, 90.00 degrees
With the nearest neighbours (Å) after each atom.
Element x y z (fractional)
I  0.3402  0.8402  0.0000  2 Li 2.75
I  0.8402  0.6598  0.0000  2 Li 2.75
I  0.6598  0.1598  0.0000  2 Li 2.75
I  0.1598  0.3402  0.0000  2 Li 2.75
Te  0.0000  0.0000  0.0000  4 I 3.39
Te  0.5000  0.5000  0.0000  4 I 3.39
Li  0.1957  0.6957  0.5000  2 I 2.75
Li  0.6957  0.8043  0.5000  2 I 2.75
Li  0.8043  0.3043  0.5000  2 I 2.75
Li  0.3043  0.1957  0.5000  2 I 2.75

VASP energy (eV per atom): -2.49
Energy relative to the elements, uncorrected (kJ/mol of formula units): -231
Relative energy among the computed polymorphs (eV per atom): 0.038

# 6
The following is a PBE calculation of a geometry-optimized Li2TeI6 structure, from Alexandria.

Cell lengths 7.2501, 7.4308, 12.8204 Å; angles 89.98, 90.00, 90.00 degrees
With the nearest neighbours (Å) after each atom.
Element x y z (fractional)
Li  0.5027  0.9999  0.1525  4 I 2.89-2.93
Li  0.0027  0.5001  0.3475  4 I 2.89-2.93
Li  0.9973  0.4999  0.6525  4 I 2.89-2.93
Li  0.4973  0.0001  0.8475  4 I 2.89-2.93
Te  0.5000  0.5000  0.0000  6 I 2.97-2.99
Te  0.0000  0.0000  0.5000  6 I 2.97-2.99
I  0.2239  0.1801  0.6657  1 Li 2.89, 1 Te 2.99
I  0.2275  0.1801  0.3359  1 Li 2.89, 1 Te 2.99
I  0.2599  0.1755  0.0009  2 Li 2.92-2.93, 1 Te 2.97
I  0.7599  0.3245  0.4991  2 Li 2.92-2.93, 1 Te 2.97
I  0.7275  0.3199  0.1641  1 Li 2.89, 1 Te 2.99
I  0.7239  0.3199  0.8343  1 Li 2.89, 1 Te 2.99
I  0.7761  0.8199  0.3343  1 Li 2.89, 1 Te 2.99
I  0.7725  0.8199  0.6641  1 Li 2.89, 1 Te 2.99
I  0.7401  0.8245  0.9991  2 Li 2.92-2.93, 1 Te 2.97
I  0.2401  0.6755  0.5009  2 Li 2.92-2.93, 1 Te 2.97
I  0.2725  0.6801  0.8359  1 Li 2.89, 1 Te 2.99
I  0.2761  0.6801  0.1657  1 Li 2.89, 1 Te 2.99

VASP energy (eV per atom): -2.39
Energy relative to the elements, uncorrected (kJ/mol of formula units): -503

# 7
The following is a PBE calculation of a geometry-optimized Li2Te2I structure, from Alexandria.

Cell lengths 9.3738, 9.3738, 3.0952 Å; angles 90.00, 90.00, 90.00 degrees
With the nearest neighbours (Å) after each atom.
Element x y z (fractional)
I  0.0000  0.0000  0.0000  2 I 3.10
I  0.5000  0.5000  0.0000  2 I 3.10
Te  0.1263  0.6263  0.5000  6 Li 3.05-3.31, 3 Te 3.10-3.35
Te  0.6263  0.8737  0.5000  6 Li 3.05-3.31, 3 Te 3.10-3.35
Te  0.8737  0.3737  0.5000  6 Li 3.05-3.31, 3 Te 3.10-3.35
Te  0.3737  0.1263  0.5000  6 Li 3.05-3.31, 3 Te 3.10-3.35
Li  0.3467  0.8467  0.0000  6 Te 3.05-3.31, 2 Li 3.10
Li  0.8467  0.6533  0.0000  6 Te 3.05-3.31, 2 Li 3.10
Li  0.6533  0.1533  0.0000  6 Te 3.05-3.31, 2 Li 3.10
Li  0.1533  0.3467  0.0000  6 Te 3.05-3.31, 2 Li 3.10

VASP energy (eV per atom): -2.78
Energy relative to the elements, uncorrected (kJ/mol of formula units): -217
Relative energy among the computed polymorphs (eV per atom): 0.000

# 8
The following is a PBE calculation of a geometry-optimized LiTeI3 structure, from Alexandria.

Cell lengths 6.1587, 6.1587, 6.1587 Å; angles 90.00, 90.00, 90.00 degrees
With the nearest neighbours (Å) after each atom.
Element x y z (fractional)
I  0.0000  0.5000  0.0000  2 Te 3.08
I  0.0000  0.0000  0.5000  2 Te 3.08
I  0.5000  0.0000  0.0000  2 Te 3.08
Te  0.0000  0.0000  0.0000  6 I 3.08
Li  0.5000  0.5000  0.5000  12 I 4.35

VASP energy (eV per atom): -2.17
Energy relative to the elements, uncorrected (kJ/mol of formula units): -111
Relative energy among the computed polymorphs (eV per atom): 0.225

# 9
The following is a PBE calculation of a geometry-optimized Li3TeI structure, from Alexandria.

Cell lengths 5.2693, 5.2693, 5.2693 Å; angles 90.00, 90.00, 90.00 degrees
With the nearest neighbours (Å) after each atom.
Element x y z (fractional)
I  0.5000  0.5000  0.5000  12 Li 3.73
Te  0.0000  0.0000  0.0000  6 Li 2.63
Li  0.0000  0.5000  0.0000  2 Te 2.63
Li  0.0000  0.0000  0.5000  2 Te 2.63
Li  0.5000  0.0000  0.0000  2 Te 2.63

VASP energy (eV per atom): -3.03
Energy relative to the elements, uncorrected (kJ/mol of formula units): -454
Relative energy among the computed polymorphs (eV per atom): 0.134

# 10
The following is a PBE calculation of a geometry-optimized Li2TeI8 structure, from Alexandria.

Cell lengths 7.4775, 9.1223, 9.1223 Å; angles 91.81, 106.43, 106.43 degrees
With the nearest neighbours (Å) after each atom.
Element x y z (fractional)
Li  0.3066  0.8156  0.8156  4 I 2.75-2.84
Li  0.6934  0.1844  0.1844  4 I 2.75-2.84
Te  0.0000  0.0000  0.0000  6 I 2.96-3.03
I  0.8214  0.9328  0.2511  1 Li 2.75, 1 Te 2.96
I  0.1786  0.7489  0.0672  1 Li 2.75, 1 Te 2.96
I  0.6490  0.7705  0.7705  1 Li 2.84, 1 Te 3.03
I  0.3510  0.2295  0.2295  1 Li 2.84, 1 Te 3.03
I  0.8214  0.2511  0.9328  1 Li 2.75, 1 Te 2.96
I  0.1786  0.0672  0.7489  1 Li 2.75, 1 Te 2.96
I  0.2012  0.5739  0.5739  1 I 2.83, 1 Li 2.84
I  0.7988  0.4261  0.4261  1 I 2.83, 1 Li 2.84

VASP energy (eV per atom): -2.21
Energy relative to the elements, uncorrected (kJ/mol of formula units): -474

# 11
The following is a PBE calculation of a geometry-optimized Li2TeI structure, from Alexandria.

Cell lengths 4.0349, 4.0349, 8.8415 Å; angles 76.81, 76.81, 60.00 degrees
With the nearest neighbours (Å) after each atom.
Element x y z (fractional)
I  0.5000  0.5000  0.5000  6 Li 2.86
Te  0.0000  0.0000  0.0000  2 Li 2.60
Li  0.1015  0.1015  0.6954  1 Te 2.60, 3 I 2.86
Li  0.8985  0.8985  0.3046  1 Te 2.60, 3 I 2.86

VASP energy (eV per atom): -2.82
Energy relative to the elements, uncorrected (kJ/mol of formula units): -266
Relative energy among the computed polymorphs (eV per atom): 0.031

# 12
The following is a PBE calculation of a geometry-optimized Li2TeI5 structure, from Alexandria.

Cell lengths 6.7126, 7.6479, 7.6480 Å; angles 77.59, 65.05, 65.06 degrees
With the nearest neighbours (Å) after each atom.
Element x y z (fractional)
Li  0.6237  0.6049  0.0025  4 I 2.86-2.98
Li  0.6238  0.0024  0.6049  4 I 2.86-2.98
Te  0.0370  0.0296  0.0295  4 I 2.95-2.97
I  0.7091  0.3237  0.3238  1 Te 2.97, 2 Li 2.98
I  0.0358  0.3462  0.7301  1 Li 2.86, 1 Te 2.95
I  0.0358  0.7301  0.3462  1 Li 2.86, 1 Te 2.95
I  0.3725  0.7359  0.7358  2 Li 2.93, 1 Te 2.97
I  0.5623  0.0042  0.0042  2 Li 2.91

VASP energy (eV per atom): -2.45
Energy relative to the elements, uncorrected (kJ/mol of formula units): -469